{
  "formula": "Be2Cu2Mo",
  "functional": "PBE",
  "state": "relaxed",
  "magmom_total_mub_per_fu": 0.0,
  "mass_density_g_cm3": 4.37,
  "ef_kj_per_mol_atoms": 177,
  "total_energy_ev_per_atom": -3.46,
  "lattice_angstrom": [[4.619, 0.000, 0.000], [0.000, 4.619, 0.000], [0.000, 0.000, 4.295]],
  "species": ["Cu", "Be", "Mo", "Cu", "Be"],
  "fractional_positions": [[0.500, 0.000, 0.000], [0.000, 0.000, 0.500], [0.000, 0.000, 0.000], [0.000, 0.500, 0.000], [0.500, 0.500, 0.500]]
}